Entry from Alexandria: an optimized crystal structure of MoP2RuO (GGA+U).

a = 4.850 Å, b = 4.850 Å, c = 3.707 Å
α = 90.00°, β = 90.00°, γ = 90.00°
Fractional coordinates of all 5 atoms:
Mo 0.000 0.000 0.000
P 0.000 0.500 0.000
P 0.500 0.000 0.000
Ru 0.500 0.500 0.500
O 0.000 0.000 0.500

Values from the calculation:
Space-group type ... P4/mmm (123)
Energy above the lowest structure with this stoichiometry ... 0.2577 eV/atom
Volume ... 17.44 Å³/atom
D(E_F) ... 6.11 states/eV/f.u.

---

Entry from Alexandria: an optimized crystal structure of MoP2SO (GGA+U).

a = 4.703 Å, b = 4.703 Å, c = 4.493 Å
α = 90.00°, β = 90.00°, γ = 90.00°
Fractional coordinates of all 5 atoms:
Mo 0.000 0.000 0.000
P 0.000 0.500 0.000
P 0.500 0.000 0.000
S 0.000 0.000 0.500
O 0.500 0.500 0.500

Values from the calculation:
Space-group type ... P4/mmm (123)
Energy above the lowest structure with this stoichiometry ... 0.8036 eV/atom
Volume ... 19.87 Å³/atom
D(E_F) ... 4.21 states/eV/f.u.

---

Entry from Alexandria: an optimized crystal structure of MoPS2O (GGA+U).

a = 4.895 Å, b = 4.895 Å, c = 3.775 Å
α = 90.00°, β = 90.00°, γ = 90.00°
Fractional coordinates of all 5 atoms:
Mo 0.000 0.000 0.000
P 0.500 0.500 0.500
S 0.000 0.500 0.000
S 0.500 0.000 0.000
O 0.000 0.000 0.500

Values from the calculation:
Space-group type ... P4/mmm (123)
Energy above the lowest structure with this stoichiometry ... 0.0000 eV/atom
Volume ... 18.09 Å³/atom
D(E_F) ... 3.14 states/eV/f.u.

---

Entry from Alexandria: an optimized crystal structure of MoP2SO (GGA+U).

a = 4.820 Å, b = 4.820 Å, c = 3.786 Å
α = 90.00°, β = 90.00°, γ = 90.00°
Fractional coordinates of all 5 atoms:
Mo 0.000 0.000 0.000
P 0.000 0.500 0.000
P 0.500 0.000 0.000
S 0.500 0.500 0.500
O 0.000 0.000 0.500

Values from the calculation:
Space-group type ... P4/mmm (123)
Energy above the lowest structure with this stoichiometry ... 0.0000 eV/atom
Volume ... 17.59 Å³/atom
D(E_F) ... 2.56 states/eV/f.u.

---

Entry from Alexandria: an optimized crystal structure of MoPSO2 (GGA+U).

a = 3.726 Å, b = 3.726 Å, c = 4.696 Å
α = 90.00°, β = 90.00°, γ = 90.00°
Fractional coordinates of all 5 atoms:
Mo 0.000 0.000 0.000
P 0.500 0.500 0.000
S 0.500 0.500 0.500
O 0.000 0.500 0.500
O 0.500 0.000 0.500

Values from the calculation:
Uncorrected energy ... -25.43 eV per cell
Space-group type ... P4/mmm (123)
Volume ... 13.04 Å³/atom
D(E_F) ... 0.45 states/eV/f.u.

---

Entry from Alexandria: an optimized crystal structure of MoPSO2 (GGA+U).

a = 3.589 Å, b = 3.589 Å, c = 5.290 Å
α = 90.00°, β = 90.00°, γ = 90.00°
Fractional coordinates of all 5 atoms:
Mo 0.000 0.000 0.000
P 0.500 0.500 0.500
S 0.500 0.500 0.000
O 0.000 0.500 0.500
O 0.500 0.000 0.500

Values from the calculation:
Uncorrected energy ... -28.59 eV per cell
Space-group type ... P4/mmm (123)
Volume ... 13.63 Å³/atom
D(E_F) ... 1.13 states/eV/f.u.

---

Entry from Alexandria: an optimized crystal structure of MoP2SO (GGA+U).

a = 4.031 Å, b = 4.031 Å, c = 4.595 Å
α = 90.00°, β = 90.00°, γ = 90.00°
Fractional coordinates of all 5 atoms:
Mo 0.000 0.000 0.000
P 0.000 0.500 0.500
P 0.500 0.000 0.500
S 0.500 0.500 0.000
O 0.500 0.500 0.500

Values from the calculation:
Space-group type ... P4/mmm (123)
Energy above the lowest structure with this stoichiometry ... 0.2780 eV/atom
Volume ... 14.93 Å³/atom
D(E_F) ... 1.08 states/eV/f.u.

---

Entry from Alexandria: an optimized crystal structure of MoP2SO (GGA+U).

a = 4.287 Å, b = 4.287 Å, c = 4.399 Å
α = 90.00°, β = 90.00°, γ = 90.00°
Fractional coordinates of all 5 atoms:
Mo 0.000 0.000 0.000
P 0.000 0.500 0.500
P 0.500 0.000 0.500
S 0.500 0.500 0.000
O 0.000 0.000 0.500

Values from the calculation:
Space-group type ... P4/mmm (123)
Energy above the lowest structure with this stoichiometry ... 0.3484 eV/atom
Volume ... 16.17 Å³/atom
D(E_F) ... 2.94 states/eV/f.u.

---

Entry from Alexandria: an optimized crystal structure of MoPS2O (GGA+U).

a = 4.553 Å, b = 4.553 Å, c = 4.830 Å
α = 90.00°, β = 90.00°, γ = 90.00°
Fractional coordinates of all 5 atoms:
Mo 0.000 0.000 0.000
P 0.000 0.000 0.500
S 0.000 0.500 0.000
S 0.500 0.000 0.000
O 0.500 0.500 0.500

Values from the calculation:
Space-group type ... P4/mmm (123)
Energy above the lowest structure with this stoichiometry ... 0.9277 eV/atom
Volume ... 20.02 Å³/atom
D(E_F) ... 6.96 states/eV/f.u.

---

Entry from Alexandria: an optimized crystal structure of MoP2SO (GGA+U).

a = 4.616 Å, b = 4.616 Å, c = 3.482 Å
α = 90.00°, β = 90.00°, γ = 90.00°
Fractional coordinates of all 5 atoms:
Mo 0.000 0.000 0.000
P 0.000 0.500 0.500
P 0.500 0.000 0.500
S 0.500 0.500 0.500
O 0.500 0.500 0.000

Values from the calculation:
Space-group type ... P4/mmm (123)
Energy above the lowest structure with this stoichiometry ... 0.2197 eV/atom
Volume ... 14.84 Å³/atom
D(E_F) ... 2.24 states/eV/f.u.

---

Entry from Alexandria: an optimized crystal structure of MoPSO2 (GGA+U).

a = 3.755 Å, b = 3.755 Å, c = 5.391 Å
α = 90.00°, β = 90.00°, γ = 90.00°
Fractional coordinates of all 5 atoms:
Mo 0.000 0.000 0.000
P 0.000 0.000 0.500
S 0.500 0.500 0.500
O 0.000 0.500 0.000
O 0.500 0.000 0.000

Values from the calculation:
Uncorrected energy ... -28.91 eV per cell
Space-group type ... P4/mmm (123)
Volume ... 15.21 Å³/atom
D(E_F) ... 2.09 states/eV/f.u.

---

Entry from Alexandria: an optimized crystal structure of MoPS2O (GGA+U).

a = 4.406 Å, b = 4.406 Å, c = 3.976 Å
α = 90.00°, β = 90.00°, γ = 90.00°
Fractional coordinates of all 5 atoms:
Mo 0.000 0.000 0.000
P 0.500 0.500 0.000
S 0.000 0.500 0.500
S 0.500 0.000 0.500
O 0.500 0.500 0.500

Values from the calculation:
Space-group type ... P4/mmm (123)
Energy above the lowest structure with this stoichiometry ... 0.5847 eV/atom
Volume ... 15.44 Å³/atom
D(E_F) ... 2.25 states/eV/f.u.

---

The highest D(E_F) belongs to which entry?
number 9

---

D(E_F) of number 1 (MoP2RuO)?
6.11 states/eV/f.u.

---

Copy entry 2 word for word.
Entry from Alexandria: an optimized crystal structure of MoP2SO (GGA+U).

a = 4.703 Å, b = 4.703 Å, c = 4.493 Å
α = 90.00°, β = 90.00°, γ = 90.00°
Fractional coordinates of all 5 atoms:
Mo 0.000 0.000 0.000
P 0.000 0.500 0.000
P 0.500 0.000 0.000
S 0.000 0.000 0.500
O 0.500 0.500 0.500

Values from the calculation:
Space-group type ... P4/mmm (123)
Energy above the lowest structure with this stoichiometry ... 0.8036 eV/atom
Volume ... 19.87 Å³/atom
D(E_F) ... 4.21 states/eV/f.u.